(1)
BeNbCoB | PBE | relaxed

Computed properties:
The value obtained for the total energy is -6.67 eV/atom.

```
data_BeNbCoB
_cell_length_a 5.550
_cell_length_b 5.550
_cell_length_c 5.550
_cell_angle_alpha 90.00
_cell_angle_beta 90.00
_cell_angle_gamma 90.00
_space_group_name_H-M_alt 'F -4 3 m'
_space_group_IT_number 216
_space_group_name_Hall 'F -4 2 3'
loop_
_atom_site_label
_atom_site_type_symbol
_atom_site_fract_x
_atom_site_fract_y
_atom_site_fract_z
Be1 Be 0.000 0.000 0.000
Nb1 Nb 0.250 0.250 0.750
Co1 Co 0.000 0.000 0.500
B1 B 0.250 0.250 0.250
```

***

(2)
MgZr3Al2NiIr2 | PBE | relaxed

Computed properties:
The value obtained for the total energy is -7.15 eV/atom.

```
data_MgZr3Al2NiIr2
_cell_length_a 3.512
_cell_length_b 12.430
_cell_length_c 7.236
_cell_angle_alpha 90.00
_cell_angle_beta 90.00
_cell_angle_gamma 90.00
_space_group_name_H-M_alt 'A m m 2'
_space_group_IT_number 38
loop_
_space_group_symop_operation_xyz
'x,y,z'
'-x,-y,z'
'-x,y,z'
'x,-y,z'
'x,y+1/2,z+1/2'
'-x,-y+1/2,z+1/2'
'-x,y+1/2,z+1/2'
'x,-y+1/2,z+1/2'
loop_
_atom_site_label
_atom_site_type_symbol
_atom_site_fract_x
_atom_site_fract_y
_atom_site_fract_z
Mg1 Mg 0.000 0.000 0.000
Zr1 Zr 0.500 0.000 0.647
Zr2 Zr 0.500 0.207 0.043
Al1 Al 0.000 0.124 0.369
Ni1 Ni 0.500 0.000 0.264
Ir1 Ir 0.000 0.169 0.743
```

***

(3)
Nb4GeN3 | PBE | relaxed

Computed properties:
The value obtained for the total energy is -9.47 eV/atom.

```
data_Nb4GeN3
_cell_length_a 3.1455
_cell_length_b 3.1455
_cell_length_c 23.4365
_cell_angle_alpha 90.00
_cell_angle_beta 90.00
_cell_angle_gamma 120.00
_space_group_name_H-M_alt 'P 63/m m c'
_space_group_IT_number 194
_space_group_name_Hall '-P 6c 2c'
loop_
_atom_site_label
_atom_site_type_symbol
_atom_site_fract_x
_atom_site_fract_y
_atom_site_fract_z
Nb1 Nb 0.0000 0.0000 0.1614
Nb2 Nb 0.3333 0.6667 0.0549
Ge1 Ge 0.3333 0.6667 0.2500
N1 N 0.0000 0.0000 0.0000
N2 N 0.3333 0.6667 0.6097
```

***

(4)
Nd4Hf3As4 | PBE | relaxed

Computed properties:
The value obtained for the total energy is -6.81 eV/atom.

```
data_Nd4Hf3As4
_cell_length_a 7.417
_cell_length_b 3.802
_cell_length_c 9.772
_cell_angle_alpha 90.00
_cell_angle_beta 98.00
_cell_angle_gamma 90.00
_space_group_name_H-M_alt 'P 1 m 1'
_space_group_IT_number 6
loop_
_space_group_symop_operation_xyz
'x,y,z'
'x,-y,z'
loop_
_atom_site_label
_atom_site_type_symbol
_atom_site_fract_x
_atom_site_fract_y
_atom_site_fract_z
Nd1 Nd 0.000 0.000 0.000
Nd2 Nd 0.049 0.500 0.413
Nd3 Nd 0.416 0.000 0.586
Nd4 Nd 0.669 0.500 0.119
Hf1 Hf 0.295 0.500 0.838
Hf2 Hf 0.432 0.000 0.290
Hf3 Hf 0.782 0.500 0.727
As1 As 0.051 0.000 0.690
As2 As 0.263 0.500 0.126
As3 As 0.597 0.000 0.874
As4 As 0.652 0.500 0.448
```

***

(5)
Tl2Sb2Au | PBE | relaxed

Computed properties:
The value obtained for the total energy is -3.05 eV/atom.

```
data_Tl2Sb2Au
_cell_length_a 5.1187
_cell_length_b 5.1187
_cell_length_c 12.5503
_cell_angle_alpha 90.00
_cell_angle_beta 90.00
_cell_angle_gamma 120.00
_space_group_name_H-M_alt 'P 63/m m c'
_space_group_IT_number 194
_space_group_name_Hall '-P 6c 2c'
loop_
_atom_site_label
_atom_site_type_symbol
_atom_site_fract_x
_atom_site_fract_y
_atom_site_fract_z
Tl1 Tl 0.0000 0.0000 0.0000
Tl2 Tl 0.3333 0.6667 0.2500
Sb1 Sb 0.3333 0.6667 0.6315
Au1 Au 0.0000 0.0000 0.2500
```

***

(6)
Na4Al2CdAg | PBE | relaxed

Computed properties:
The value obtained for the total energy is -2.00 eV/atom.

```
data_Na4Al2CdAg
_cell_length_a 4.949
_cell_length_b 4.949
_cell_length_c 7.024
_cell_angle_alpha 90.00
_cell_angle_beta 90.00
_cell_angle_gamma 90.00
_space_group_name_H-M_alt 'P -4 m 2'
_space_group_IT_number 115
loop_
_space_group_symop_operation_xyz
'x,y,z'
'y,-x,-z'
'-x,-y,z'
'-y,x,-z'
'-x,y,z'
'-y,-x,-z'
'x,-y,z'
'y,x,-z'
loop_
_atom_site_label
_atom_site_type_symbol
_atom_site_fract_x
_atom_site_fract_y
_atom_site_fract_z
Na1 Na 0.000 0.000 0.000
Na2 Na 0.000 0.500 0.744
Na3 Na 0.500 0.500 0.500
Al1 Al 0.000 0.500 0.258
Cd1 Cd 0.500 0.500 0.000
Ag1 Ag 0.000 0.000 0.500
```

***

(7)
TlAg | PBE | relaxed

Computed properties:
The value obtained for the total energy is -2.37 eV/atom.

```
data_TlAg
_cell_length_a 5.875
_cell_length_b 5.875
_cell_length_c 5.875
_cell_angle_alpha 90.00
_cell_angle_beta 90.00
_cell_angle_gamma 90.00
_space_group_name_H-M_alt 'F m -3 m'
_space_group_IT_number 225
_space_group_name_Hall '-F 4 2 3'
loop_
_atom_site_label
_atom_site_type_symbol
_atom_site_fract_x
_atom_site_fract_y
_atom_site_fract_z
Tl1 Tl 0.000 0.000 0.000
Ag1 Ag 0.000 0.000 0.500
```

***

(8)
Ta2Bi4O11 | PBE | relaxed

Computed properties:
The value obtained for the total energy is -7.50 eV/atom.

```
data_Ta2Bi4O11
_cell_length_a 6.584
_cell_length_b 7.667
_cell_length_c 9.845
_cell_angle_alpha 101.22
_cell_angle_beta 90.12
_cell_angle_gamma 90.05
_space_group_name_H-M_alt 'P -1'
_space_group_IT_number 2
loop_
_space_group_symop_operation_xyz
'x,y,z'
'-x,-y,-z'
loop_
_atom_site_label
_atom_site_type_symbol
_atom_site_fract_x
_atom_site_fract_y
_atom_site_fract_z
Ta1 Ta 0.092 0.204 0.312
Ta2 Ta 0.095 0.702 0.312
Bi1 Bi 0.247 0.371 0.981
Bi2 Bi 0.247 0.871 0.980
Bi3 Bi 0.377 0.044 0.663
Bi4 Bi 0.431 0.546 0.678
O1 O 0.002 0.290 0.499
O2 O 0.025 0.954 0.315
O3 O 0.098 0.139 0.099
O4 O 0.117 0.668 0.103
O5 O 0.173 0.447 0.287
O6 O 0.211 0.350 0.736
O7 O 0.216 0.772 0.737
O8 O 0.375 0.161 0.344
O9 O 0.375 0.761 0.359
O10 O 0.418 0.107 0.882
O11 O 0.456 0.594 0.895
```

***

(9)
LiCuCl3 | PBE | relaxed

Computed properties:
The value obtained for the total energy is -3.18 eV/atom.

```
data_LiCuCl3
_cell_length_a 3.720
_cell_length_b 12.429
_cell_length_c 8.919
_cell_angle_alpha 90.00
_cell_angle_beta 97.47
_cell_angle_gamma 90.00
_space_group_name_H-M_alt 'P 1 21/c 1'
_space_group_IT_number 14
loop_
_space_group_symop_operation_xyz
'x,y,z'
'-x,-y,-z'
'-x,y+1/2,-z+1/2'
'x,-y+1/2,z+1/2'
loop_
_atom_site_label
_atom_site_type_symbol
_atom_site_fract_x
_atom_site_fract_y
_atom_site_fract_z
Li1 Li 0.233 0.118 0.030
Cu1 Cu 0.257 0.535 0.170
Cl1 Cl 0.193 0.109 0.503
Cl2 Cl 0.233 0.681 0.316
Cl3 Cl 0.351 0.559 0.659
```

***

(10)
KAgAs | PBE | relaxed

Computed properties:
The value obtained for the total energy is -2.71 eV/atom.

```
data_KAgAs
_cell_length_a 6.904
_cell_length_b 6.904
_cell_length_c 6.904
_cell_angle_alpha 90.00
_cell_angle_beta 90.00
_cell_angle_gamma 90.00
_space_group_name_H-M_alt 'F -4 3 m'
_space_group_IT_number 216
_space_group_name_Hall 'F -4 2 3'
loop_
_atom_site_label
_atom_site_type_symbol
_atom_site_fract_x
_atom_site_fract_y
_atom_site_fract_z
K1 K 0.000 0.000 0.000
Ag1 Ag 0.250 0.250 0.750
As1 As 0.000 0.000 0.500
```

***

(11)
Tm2SbBrCl | PBE | relaxed

Computed properties:
The value obtained for the total energy is -4.79 eV/atom.

```
data_Tm2SbBrCl
_cell_length_a 4.1367
_cell_length_b 4.1367
_cell_length_c 10.9731
_cell_angle_alpha 90.00
_cell_angle_beta 90.00
_cell_angle_gamma 120.00
_space_group_name_H-M_alt 'P 3 m 1'
_space_group_IT_number 156
loop_
_space_group_symop_operation_xyz
'x,y,z'
'-y,x-y,z'
'-x+y,-x,z'
'-y,-x,z'
'-x+y,y,z'
'x,x-y,z'
loop_
_atom_site_label
_atom_site_type_symbol
_atom_site_fract_x
_atom_site_fract_y
_atom_site_fract_z
Tm1 Tm 0.0000 0.0000 0.0000
Tm2 Tm 0.3333 0.6667 0.6839
Sb1 Sb 0.6667 0.3333 0.8419
Br1 Br 0.3333 0.6667 0.1557
Cl1 Cl 0.0000 0.0000 0.5469
```

***

(12)
MgBiAu | PBE | relaxed

Computed properties:
The value obtained for the total energy is -3.24 eV/atom.

```
data_MgBiAu
_cell_length_a 7.936
_cell_length_b 4.733
_cell_length_c 7.524
_cell_angle_alpha 90.00
_cell_angle_beta 90.00
_cell_angle_gamma 90.00
_space_group_name_H-M_alt 'P n m a'
_space_group_IT_number 62
loop_
_space_group_symop_operation_xyz
'x,y,z'
'-x,-y,-z'
'-x+1/2,-y,z+1/2'
'x+1/2,y,-z+1/2'
'x+1/2,-y+1/2,-z+1/2'
'-x+1/2,y+1/2,z+1/2'
'-x,y+1/2,-z'
'x,-y+1/2,z'
loop_
_atom_site_label
_atom_site_type_symbol
_atom_site_fract_x
_atom_site_fract_y
_atom_site_fract_z
Mg1 Mg 0.190 0.250 0.092
Bi1 Bi 0.051 0.250 0.678
Au1 Au 0.158 0.750 0.914
```